[1]
# Ce2Th2Hg3 PBE-GGA relaxed
# - ΔE_f: -0.18 eV per atom
# - DFT total energy: -4.123 eV/atom
data_Ce2Th2Hg3
_space_group_name_H-M_alt 'C m m m'
_space_group_IT_number 65
_space_group_name_Hall '-C 2 2'
_cell_length_a 4.5058
_cell_length_b 24.8670
_cell_length_c 3.3565
_cell_angle_alpha 90.00
_cell_angle_beta 90.00
_cell_angle_gamma 90.00
loop_
_atom_site_label
_atom_site_type_symbol
_atom_site_fract_x
_atom_site_fract_y
_atom_site_fract_z
Ce1 Ce 0.0000 0.2154 0.0000
Th1 Th 0.0000 0.0730 0.0000
Hg1 Hg 0.0000 0.3524 0.5000
Hg2 Hg 0.0000 0.5000 0.5000

[2]
# LaTaAu2 PBE-GGA relaxed
# - ΔE_f: -0.01 eV per atom
# - DFT total energy: -5.843 eV/atom
data_LaTaAu2
_space_group_name_H-M_alt 'C 1 m 1'
_space_group_IT_number 8
_cell_length_a 10.1088
_cell_length_b 3.3162
_cell_length_c 5.4637
_cell_angle_alpha 90.00
_cell_angle_beta 103.33
_cell_angle_gamma 90.00
loop_
_space_group_symop_operation_xyz
'x,y,z'
'x,-y,z'
'x+1/2,y+1/2,z'
'x+1/2,-y+1/2,z'
loop_
_atom_site_label
_atom_site_type_symbol
_atom_site_fract_x
_atom_site_fract_y
_atom_site_fract_z
La1 La 0.0000 0.0000 0.0000
Ta1 Ta 0.2376 0.0000 0.6534
Au1 Au 0.0022 0.5000 0.5184
Au2 Au 0.2601 0.5000 0.2384

[3]
# HfAuI2N PBE-GGA relaxed
# - DFT total energy: -3.836 eV/atom
# - Formation energy (no corrections): 529 kJ/mol of formula units
data_HfAuI2N
_space_group_name_H-M_alt 'P 4/m m m'
_space_group_IT_number 123
_space_group_name_Hall '-P 4 2'
_cell_length_a 6.0304
_cell_length_b 6.0304
_cell_length_c 3.7203
_cell_angle_alpha 90.00
_cell_angle_beta 90.00
_cell_angle_gamma 90.00
loop_
_atom_site_label
_atom_site_type_symbol
_atom_site_fract_x
_atom_site_fract_y
_atom_site_fract_z
Hf1 Hf 0.0000 0.0000 0.0000
Au1 Au 0.5000 0.5000 0.5000
I1 I 0.0000 0.5000 0.5000
N1 N 0.5000 0.5000 0.0000

[4]
# CaIr2Os PBE-GGA relaxed
# - ΔE_f: 0.25 eV per atom
# - DFT total energy: -7.484 eV/atom
data_CaIr2Os
_space_group_name_H-M_alt 'P m m 2'
_space_group_IT_number 25
_cell_length_a 2.7583
_cell_length_b 4.0312
_cell_length_c 6.2434
_cell_angle_alpha 90.00
_cell_angle_beta 90.00
_cell_angle_gamma 90.00
loop_
_space_group_symop_operation_xyz
'x,y,z'
'-x,-y,z'
'-x,y,z'
'x,-y,z'
loop_
_atom_site_label
_atom_site_type_symbol
_atom_site_fract_x
_atom_site_fract_y
_atom_site_fract_z
Ca1 Ca 0.0000 0.0000 0.0000
Ir1 Ir 0.0000 0.0000 0.5148
Ir2 Ir 0.5000 0.5000 0.2725
Os1 Os 0.5000 0.5000 0.6782

[5]
# LaScPb2 PBE-GGA relaxed
# - ΔE_f: -0.41 eV per atom
# - DFT total energy: -5.083 eV/atom
data_LaScPb2
_space_group_name_H-M_alt 'C m c m'
_space_group_IT_number 63
_space_group_name_Hall '-C 2c 2'
_cell_length_a 3.6265
_cell_length_b 17.9528
_cell_length_c 7.1438
_cell_angle_alpha 90.00
_cell_angle_beta 90.00
_cell_angle_gamma 90.00
loop_
_atom_site_label
_atom_site_type_symbol
_atom_site_fract_x
_atom_site_fract_y
_atom_site_fract_z
La1 La 0.0000 0.0090 0.2500
Sc1 Sc 0.0000 0.2373 0.7500
Pb1 Pb 0.0000 0.3692 0.0151

[6]
# BSbMo2 PBE-GGA relaxed
# - DFT total energy: -7.393 eV/atom
# - Formation energy (no corrections): 279 kJ/mol of formula units
data_BSbMo2
_space_group_name_H-M_alt 'F m -3 m'
_space_group_IT_number 225
_space_group_name_Hall '-F 4 2 3'
_cell_length_a 6.2185
_cell_length_b 6.2185
_cell_length_c 6.2185
_cell_angle_alpha 90.00
_cell_angle_beta 90.00
_cell_angle_gamma 90.00
loop_
_atom_site_label
_atom_site_type_symbol
_atom_site_fract_x
_atom_site_fract_y
_atom_site_fract_z
B1 B 0.0000 0.0000 0.0000
Sb1 Sb 0.0000 0.0000 0.5000
Mo1 Mo 0.2500 0.2500 0.2500

Number 1: M_tot 1.4 μB/f.u.. Number 2: M_tot 1.1 μB/f.u.. Number 3: M_tot 0.0 μB/f.u.. Number 4: M_tot 0.0 μB/f.u.. Number 5: M_tot 0.0 μB/f.u.. Number 6: M_tot 0.0 μB/f.u..